1.
A crystal of YTcSb2 relaxed with PBEsol, computed with meta-GGA SCAN.

Lattice parameters (Å, degrees): 3.5245 3.5245 6.9237 90.00 90.00 90.00
With the nearest neighbours (Å) after each atom.
Atoms (fractional coordinates):
Y 0.0000 0.0000 0.0000  5 Sb 3.10, 4 Tc 3.18
Tc 0.5000 0.5000 0.7152  4 Sb 2.74
Sb 0.0000 0.0000 0.5517  4 Tc 2.74
Sb 0.5000 0.5000 0.2657  4 Y 3.10, 1 Tc 3.11, 4 Sb 3.18

Results
ΔE_f (raw) (eV per atom): -0.24

=====

2.
A crystal of YTcSb relaxed with PBEsol, computed with meta-GGA SCAN.

Lattice parameters (Å, degrees): 5.9549 5.9549 5.9549 147.12 147.12 47.19
With the nearest neighbours (Å) after each atom.
Atoms (fractional coordinates):
Y 0.0000 0.0000 0.0000  4 Tc 3.06, 5 Sb 3.19-3.29, 4 Y 3.37
Tc 0.3244 0.3244 0.0000  4 Sb 2.70
Sb 0.7076 0.7076 0.0000  4 Tc 2.70

Results
Energy relative to the lowest polymorph listed for this composition (meV per atom): 0
ΔE_f (raw) (eV per atom): -0.36

=====

3.
A crystal of YTcSb relaxed with PBEsol, computed with meta-GGA SCAN.

Lattice parameters (Å, degrees): 4.6431 4.6431 4.6431 60.00 60.00 60.00
With the nearest neighbours (Å) after each atom.
Atoms (fractional coordinates):
Y 0.0000 0.0000 0.0000  4 Sb 2.84
Tc 0.5000 0.5000 0.5000  4 Sb 2.84
Sb 0.2500 0.2500 0.2500  4 Tc 2.84, 4 Y 2.84

Results
Energy relative to the lowest polymorph listed for this composition (meV per atom): 322
ΔE_f (raw) (eV per atom): -0.04

=====

4.
A crystal of Zn2TcSb relaxed with PBEsol, computed with meta-GGA SCAN.

Lattice parameters (Å, degrees): 4.0343 4.0343 3.8512 90.00 90.00 90.00
With the nearest neighbours (Å) after each atom.
Atoms (fractional coordinates):
Zn 0.0000 0.5000 0.0000  4 Tc 2.79, 4 Sb 2.79, 4 Zn 2.85
Zn 0.5000 0.0000 0.0000  4 Tc 2.79, 4 Sb 2.79, 4 Zn 2.85
Tc 0.0000 0.0000 0.5000  8 Zn 2.79, 4 Sb 2.85
Sb 0.5000 0.5000 0.5000  8 Zn 2.79, 4 Tc 2.85

Results
ΔE_f (raw) (eV per atom): 0.31

=====

5.
A crystal of ZnTcSb2 relaxed with PBEsol, computed with meta-GGA SCAN.

Lattice parameters (Å, degrees): 4.4193 5.1661 5.1661 39.18 90.00 90.00
With the nearest neighbours (Å) after each atom.
Atoms (fractional coordinates):
Zn 0.0000 0.0000 0.0000  7 Sb 2.64-2.87, 2 Tc 2.67
Tc 0.5000 0.1532 0.1532  2 Zn 2.67, 7 Sb 2.73-2.90
Sb 0.0000 0.7289 0.7289  3 Zn 2.64-2.82, 4 Tc 2.90
Sb 0.5000 0.4368 0.4368  3 Tc 2.73-2.76, 4 Zn 2.87

Results
ΔE_f (raw) (eV per atom): 0.13

=====

6.
A crystal of Zr2TcSb relaxed with PBEsol, computed with meta-GGA SCAN.

Lattice parameters (Å, degrees): 3.2412 3.2412 7.6216 90.00 90.00 94.75
With the nearest neighbours (Å) after each atom.
Atoms (fractional coordinates):
Zr 0.0000 0.0000 0.2091  4 Tc 2.71-2.87
Zr 0.0000 0.0000 0.7909  4 Tc 2.71-2.87
Tc 0.5000 0.5000 0.0000  8 Zr 2.71-2.87
Sb 0.5000 0.5000 0.5000  8 Zr 3.12-3.26, 4 Sb 3.24

Results
ΔE_f (raw) (eV per atom): -0.43

=====

7.
A crystal of Sb3Te relaxed with PBEsol, computed with meta-GGA SCAN.

Lattice parameters (Å, degrees): 4.3764 6.1605 4.3767 90.00 90.00 90.00
With the nearest neighbours (Å) after each atom.
Atoms (fractional coordinates):
Sb 0.0000 0.0000 0.0000  6 Sb 3.08-3.10
Sb 0.0000 0.5000 0.0010  2 Sb 3.08, 4 Te 3.09-3.10
Sb 0.5000 0.0000 0.4989  2 Te 3.08, 4 Sb 3.09-3.10
Te 0.5000 0.5000 0.5009  6 Sb 3.08-3.10

Results
Energy relative to the lowest polymorph listed for this composition (meV per atom): 7
ΔE_f (raw) (eV per atom): 0.01

=====

8.
A crystal of SbTe2 relaxed with PBEsol, computed with meta-GGA SCAN.

Lattice parameters (Å, degrees): 4.3281 4.3281 5.6684 90.00 90.00 120.00
With the nearest neighbours (Å) after each atom.
Atoms (fractional coordinates):
Sb 0.0000 0.0000 0.0000  6 Te 3.07
Te 0.3333 0.6667 0.3134  3 Sb 3.07, 3 Te 3.27
Te 0.6667 0.3333 0.6866  3 Sb 3.07, 3 Te 3.27

Results
Energy relative to the lowest polymorph listed for this composition (meV per atom): 0
ΔE_f (raw) (eV per atom): -0.03